# PBE Tb7PrDy2, relaxed
data_Tb7PrDy2
_cell_length_a 5.654
_cell_length_b 9.146
_cell_length_c 9.146
_cell_angle_alpha 122.72
_cell_angle_beta 90.00
_cell_angle_gamma 90.00
_space_group_name_H-M_alt 'P 1'
_space_group_IT_number 1
_space_group_name_Hall 'P 1'
loop_
_atom_site_label
_atom_site_fract_x
_atom_site_fract_y
_atom_site_fract_z
_atom_site_occupancy
Tb1 0.000 0.779 0.221 1
Pr1 0.000 0.000 0.000 1
Tb2 0.500 0.500 0.500 1
Dy1 0.500 0.704 0.296 1
Dy2 0.500 0.296 0.704 1
Tb3 0.500 0.293 0.062 1
Tb4 0.000 0.221 0.779 1
Tb5 0.500 0.062 0.293 1
Tb6 0.500 0.938 0.707 1
Tb7 0.500 0.707 0.938 1
# ΔE to the lowest computed polymorph	668.5	meV/atom
# SG	Cmmm
# calculated formation energy	0.686	eV per atom
# total magnetic moment	0.00	μB/f.u.


# PBE RbSbC3, relaxed
data_RbSbC3
_cell_length_a 4.462
_cell_length_b 4.462
_cell_length_c 4.462
_cell_angle_alpha 90.00
_cell_angle_beta 90.00
_cell_angle_gamma 90.00
_space_group_name_H-M_alt 'P 1'
_space_group_IT_number 1
_space_group_name_Hall 'P 1'
loop_
_atom_site_label
_atom_site_fract_x
_atom_site_fract_y
_atom_site_fract_z
_atom_site_occupancy
C1 0.000 0.000 0.500 1
C2 0.500 0.000 0.000 1
Rb1 0.500 0.500 0.500 1
Sb1 0.000 0.000 0.000 1
C3 0.000 0.500 0.000 1
# ΔE to the lowest computed polymorph	0.0	meV/atom
# SG	Pm-3m
# ΔE_f (raw)	2569	meV/atom
# total magnetic moment	0.00	μB/f.u.


Values for energy, eV for the cell shown, ordered as above
-39.5, -19.9